(1)
Density functional theory data (PBE) for a relaxed structure of Sc2VHAu.

Cell: 4.600 4.600 3.637 Å, 90.00 90.00 90.00°
Sites, in units of the cell vectors:
1 Sc 0.000 0.500 0.000
2 Sc 0.500 0.000 0.000
3 V 0.000 0.000 0.500
4 H 0.000 0.000 0.000
5 Au 0.500 0.500 0.500

Results
Electronic total energy (eV/cell): -30.2
Total magnetization (μB per atom): 0.400
SG: No. 123
Theoretical density (Mg/m³): 7.31

(2)
Density functional theory data (PBE) for a relaxed structure of Rb2TeBr7.

Cell: 8.361 8.361 8.361 Å, 121.81 121.81 86.89°
Sites, in units of the cell vectors:
1 Rb 0.250 0.750 0.500
2 Rb 0.750 0.250 0.500
3 Te 0.000 0.000 0.000
4 Br 0.225 0.225 0.000
5 Br 0.238 0.238 0.476
6 Br 0.238 0.762 0.000
7 Br 0.500 0.500 0.000
8 Br 0.762 0.238 0.000
9 Br 0.762 0.762 0.524
10 Br 0.775 0.775 0.000

Results
Total magnetization (μB per atom): 0.000
SG: No. 139
Theoretical density (Mg/m³): 3.55
ΔE_f (raw) (meV per atom): -837.0

(3)
Density functional theory data (PBE) for a relaxed structure of MgInHg2.

Cell: 3.420 3.420 8.295 Å, 90.00 90.00 90.00°
Sites, in units of the cell vectors:
1 Mg 0.000 0.000 0.000
2 In 0.500 0.500 0.738
3 Hg 0.000 0.000 0.473
4 Hg 0.500 0.500 0.215

Results
Electronic total energy (eV/cell): -5.1
Total magnetization (μB per atom): 0.000
SG: No. 99
Theoretical density (Mg/m³): 9.25

Which of these has the highest total magnetization? Sc2VHAu

Copy entry 3 word for word.
Density functional theory data (PBE) for a relaxed structure of MgInHg2.

Cell: 3.420 3.420 8.295 Å, 90.00 90.00 90.00°
Sites, in units of the cell vectors:
1 Mg 0.000 0.000 0.000
2 In 0.500 0.500 0.738
3 Hg 0.000 0.000 0.473
4 Hg 0.500 0.500 0.215

Results
Electronic total energy (eV/cell): -5.1
Total magnetization (μB per atom): 0.000
SG: No. 99
Theoretical density (Mg/m³): 9.25

What did the second record say?
Density functional theory data (PBE) for a relaxed structure of Rb2TeBr7.

Cell: 8.361 8.361 8.361 Å, 121.81 121.81 86.89°
Sites, in units of the cell vectors:
1 Rb 0.250 0.750 0.500
2 Rb 0.750 0.250 0.500
3 Te 0.000 0.000 0.000
4 Br 0.225 0.225 0.000
5 Br 0.238 0.238 0.476
6 Br 0.238 0.762 0.000
7 Br 0.500 0.500 0.000
8 Br 0.762 0.238 0.000
9 Br 0.762 0.762 0.524
10 Br 0.775 0.775 0.000

Results
Total magnetization (μB per atom): 0.000
SG: No. 139
Theoretical density (Mg/m³): 3.55
ΔE_f (raw) (meV per atom): -837.0

Copy entry 3 word for word.
Density functional theory data (PBE) for a relaxed structure of MgInHg2.

Cell: 3.420 3.420 8.295 Å, 90.00 90.00 90.00°
Sites, in units of the cell vectors:
1 Mg 0.000 0.000 0.000
2 In 0.500 0.500 0.738
3 Hg 0.000 0.000 0.473
4 Hg 0.500 0.500 0.215

Results
Electronic total energy (eV/cell): -5.1
Total magnetization (μB per atom): 0.000
SG: No. 99
Theoretical density (Mg/m³): 9.25